Density functional theory data (GGA-PBEsol) for crystalline LaZr2Ag2 at its relaxed geometry.

a b c (Å): 7.6028 7.6028 7.6028
angles (deg): 148.84 148.84 44.64
Closest atoms and distances in Å follow each position.
Sites, in units of the cell vectors:
La 0.0000 0.0000 0.0000  8 Ag 3.20
Zr 0.2500 0.7500 0.5000  4 Zr 2.89, 4 Ag 2.95
Zr 0.7500 0.2500 0.5000  4 Zr 2.89, 4 Ag 2.95
Ag 0.4013 0.4013 0.0000  1 Ag 2.78, 4 Zr 2.95
Ag 0.5987 0.5987 0.0000  1 Ag 2.78, 4 Zr 2.95

ΔH_f (0 K) = 57 meV/atom
DOS(E_F) = 7.4 states/eV/cell
E_tot = -5.97 eV/atom
Symmetry = I4/mmm (139)